(1)
Here is a geometry-optimized Zr3Cu structure from Alexandria. Energies are from PBE-GGA.

## Properties
Total magnetic moment: 0.0 Bohr magnetons per cell
N(E_F): 3.82 states/eV/f.u.
VASP energy: -7.386 eV per atom
Calculated density: 6.902 g cm⁻³

Cell lengths 5.0420, 5.9542, 5.4048 Å; angles 90.00, 90.00, 90.00 degrees
Element x y z (fractional)
Zr (0.2500, 0.0012, 0.1330)
Zr (0.2500, 0.2500, 0.6201)
Zr (0.2500, 0.4988, 0.1330)
Zr (0.7500, 0.5012, 0.8670)
Zr (0.7500, 0.7500, 0.3799)
Zr (0.7500, 0.9988, 0.8670)
Cu (0.2500, 0.7500, 0.6571)
Cu (0.7500, 0.2500, 0.3429)

(2)
Here is a geometry-optimized Cs3NpSb2Te6 structure from Alexandria. Energies are from PBE-GGA.

## Properties
Total magnetic moment: 4.0 Bohr magnetons per cell
N(E_F): 5.08 states/eV/f.u.
VASP energy: -4.184 eV per atom
Calculated density: 5.546 g cm⁻³
E_form (uncorrected): -0.634 eV/atom

Cell lengths 7.9944, 7.9944, 9.2895 Å; angles 98.25, 98.25, 120.00 degrees
Element x y z (fractional)
Cs (0.0000, 0.0000, 0.0000)
Cs (0.3345, 0.6655, 0.0000)
Cs (0.6655, 0.3345, 0.0000)
Np (0.5000, 0.5000, 0.5000)
Sb (0.1666, 0.8334, 0.5000)
Sb (0.8334, 0.1666, 0.5000)
Te (0.1001, 0.4371, 0.3112)
Te (0.2259, 0.2259, 0.6884)
Te (0.4371, 0.1001, 0.3112)
Te (0.5629, 0.8999, 0.6888)
Te (0.7741, 0.7741, 0.3116)
Te (0.8999, 0.5629, 0.6888)